No. 1
An optimized crystal structure of KSnOsO6. Source: Alexandria via LeMat-Bulk, functional GGA-PBE.

Uncorrected formation energy: -11.523 eV/f.u.
V: 142.5 Å³/f.u.
Magnetic moment: 2.0 Bohr magnetons per cell
VASP energy: -6.400 eV per atom
Crystal system: orthorhombic

The structure in CIF format:
```
data_KSnOsO6
_chemical_formula_sum 'K2 Sn2 Os2 O12'
_cell_length_a 7.303
_cell_length_b 7.356
_cell_length_c 7.417
_cell_angle_alpha 119.73
_cell_angle_beta 119.49
_cell_angle_gamma 90.00
_symmetry_space_group_name_H-M 'P 1'
_symmetry_Int_Tables_number 1
loop_
_symmetry_equiv_pos_as_xyz
'x,y,z'
loop_
_atom_site_label
_atom_site_type_symbol
_atom_site_fract_x
_atom_site_fract_y
_atom_site_fract_z
O1 O 0.438 0.082 0.244
Sn1 Sn 0.500 0.000 0.500
O2 O 0.542 0.292 0.084
O3 O 0.195 0.918 0.756
O4 O 0.831 0.081 0.661
O5 O 0.805 0.662 0.244
O6 O 0.438 0.662 0.244
O7 O 0.562 0.918 0.756
O8 O 0.195 0.338 0.756
K1 K 0.900 0.650 0.800
O9 O 0.562 0.338 0.756
O10 O 0.458 0.708 0.916
Sn2 Sn 0.000 0.000 0.500
K2 K 0.100 0.350 0.200
Os1 Os 0.500 0.500 0.000
O11 O 0.805 0.082 0.244
O12 O 0.169 0.919 0.339
Os2 Os 0.500 0.000 0.000
```

---

No. 2
An optimized crystal structure of KSrOsO4. Source: Alexandria via LeMat-Bulk, functional GGA-PBE.

Uncorrected formation energy: -11.797 eV/f.u.
V: 99.2 Å³/f.u.
Magnetic moment: 0.0 Bohr magnetons per cell
VASP energy: -6.520 eV per atom
Crystal system: tetragonal

The structure in CIF format:
```
data_KSrOsO4
_chemical_formula_sum 'K1 Sr1 Os1 O4'
_cell_length_a 3.878
_cell_length_b 3.878
_cell_length_c 7.143
_cell_angle_alpha 105.75
_cell_angle_beta 105.75
_cell_angle_gamma 90.00
_symmetry_space_group_name_H-M 'P 1'
_symmetry_Int_Tables_number 1
loop_
_symmetry_equiv_pos_as_xyz
'x,y,z'
loop_
_atom_site_label
_atom_site_type_symbol
_atom_site_fract_x
_atom_site_fract_y
_atom_site_fract_z
O1 O 0.998 0.498 0.997
O2 O 0.848 0.848 0.695
Os1 Os 0.004 0.004 0.009
Sr1 Sr 0.345 0.345 0.689
O3 O 0.498 0.998 0.997
O4 O 0.155 0.155 0.309
K1 K 0.652 0.652 0.305
```

---

No. 3
An optimized crystal structure of K3Sr3OsO8. Source: Alexandria via LeMat-Bulk, functional GGA-PBE.

Uncorrected formation energy: -28.516 eV/f.u.
V: 281.7 Å³/f.u.
Magnetic moment: 1.0 Bohr magnetons per cell
VASP energy: -5.850 eV per atom
Crystal system: trigonal

The structure in CIF format:
```
data_K3Sr3OsO8
_chemical_formula_sum 'K3 Sr3 Os1 O8'
_cell_length_a 7.207
_cell_length_b 7.207
_cell_length_c 7.518
_cell_angle_alpha 118.64
_cell_angle_beta 90.00
_cell_angle_gamma 120.00
_symmetry_space_group_name_H-M 'P 1'
_symmetry_Int_Tables_number 1
loop_
_symmetry_equiv_pos_as_xyz
'x,y,z'
loop_
_atom_site_label
_atom_site_type_symbol
_atom_site_fract_x
_atom_site_fract_y
_atom_site_fract_z
Sr1 Sr 0.500 0.500 0.500
K1 K 0.000 0.500 0.000
O1 O 0.186 0.988 0.674
O2 O 0.814 0.012 0.326
O3 O 0.198 0.012 0.326
K2 K 0.000 0.000 0.000
O4 O 0.266 0.532 0.298
O5 O 0.802 0.988 0.674
O6 O 0.814 0.628 0.326
O7 O 0.734 0.468 0.702
Sr2 Sr 0.000 0.500 0.500
Sr3 Sr 0.500 0.000 0.500
K3 K 0.500 0.500 0.000
Os1 Os 0.000 0.000 0.500
O8 O 0.186 0.372 0.674
```

---

No. 4
An optimized crystal structure of K2SrOsO5. Source: Alexandria via LeMat-Bulk, functional GGA-PBE.

Uncorrected formation energy: -14.949 eV/f.u.
V: 141.3 Å³/f.u.
Magnetic moment: 0.0 Bohr magnetons per cell
VASP energy: -6.094 eV per atom
Crystal system: orthorhombic

The structure in CIF format:
```
data_K2SrOsO5
_chemical_formula_sum 'K2 Sr1 Os1 O5'
_cell_length_a 3.792
_cell_length_b 5.811
_cell_length_c 7.290
_cell_angle_alpha 113.49
_cell_angle_beta 105.07
_cell_angle_gamma 90.00
_symmetry_space_group_name_H-M 'P 1'
_symmetry_Int_Tables_number 1
loop_
_symmetry_equiv_pos_as_xyz
'x,y,z'
loop_
_atom_site_label
_atom_site_type_symbol
_atom_site_fract_x
_atom_site_fract_y
_atom_site_fract_z
O1 O 0.395 0.137 0.789
O2 O 0.395 0.652 0.789
O3 O 0.605 0.348 0.211
O4 O 0.605 0.863 0.211
K1 K 0.780 0.780 0.560
Os1 Os 0.500 0.000 0.000
O5 O 0.000 0.000 0.000
Sr1 Sr 0.000 0.500 0.000
K2 K 0.220 0.220 0.440
```